Record 1
The following is a DFT calculation (GGA-PBE) of an optimized crystal structure of Ac2NdPt.

volume = 34.91 Å³ per atom
calculated formation energy = -602 meV/atom
energy above the most stable polymorph in this dataset = 0.000 eV per atom
space-group type = Pnma, No. 62
DOS at the Fermi energy = 16.406 states/eV/cell
calculated total energy = -21.43 eV per formula unit
theoretical density = 9.4 g/cm3

a = 6.949 Å, b = 7.568 Å, c = 10.619 Å
α = 90.00°, β = 90.00°, γ = 90.00°
Fractional positions:
Ac (0.172, 0.679, 0.066)
Ac (0.328, 0.179, 0.434)
Ac (0.828, 0.321, 0.566)
Ac (0.672, 0.821, 0.934)
Ac (0.828, 0.321, 0.934)
Ac (0.672, 0.821, 0.566)
Ac (0.172, 0.679, 0.434)
Ac (0.328, 0.179, 0.066)
Nd (0.659, 0.537, 0.250)
Nd (0.841, 0.037, 0.250)
Nd (0.341, 0.463, 0.750)
Nd (0.159, 0.963, 0.750)
Pt (0.054, 0.377, 0.250)
Pt (0.446, 0.877, 0.250)
Pt (0.946, 0.623, 0.750)
Pt (0.554, 0.123, 0.750)



Record 2
The following is a DFT calculation (GGA-PBE) of an optimized crystal structure of AcNd2Pt9.

volume = 19.67 Å³ per atom
calculated formation energy = -941 meV/atom
space-group type = R-3m, No. 166
DOS at the Fermi energy = 8.663 states/eV/cell
calculated total energy = -79.30 eV per formula unit
theoretical density = 16.0 g/cm3

a = 5.524 Å, b = 5.524 Å, c = 9.484 Å
α = 73.07°, β = 73.07°, γ = 60.00°
Fractional positions:
Ac (0.000, 0.000, 0.000)
Nd (0.860, 0.860, 0.421)
Nd (0.140, 0.140, 0.579)
Pt (0.667, 0.667, 0.998)
Pt (0.333, 0.333, 0.002)
Pt (0.500, 0.500, 0.500)
Pt (0.413, 0.413, 0.256)
Pt (0.919, 0.413, 0.256)
Pt (0.413, 0.919, 0.256)
Pt (0.587, 0.587, 0.744)
Pt (0.587, 0.081, 0.744)
Pt (0.081, 0.587, 0.744)



Record 3
The following is a DFT calculation (GGA-PBE) of an optimized crystal structure of AcNd3Pt.

volume = 32.95 Å³ per atom
calculated formation energy = -409 meV/atom
energy above the most stable polymorph in this dataset = 0.000 eV per atom
space-group type = P2_1/c, No. 14
DOS at the Fermi energy = 22.985 states/eV/cell
calculated total energy = -26.50 eV per formula unit
theoretical density = 8.6 g/cm3

a = 7.712 Å, b = 8.446 Å, c = 10.576 Å
α = 106.94°, β = 90.00°, γ = 90.00°
Fractional positions:
Ac (0.962, 0.681, 0.255)
Ac (0.038, 0.319, 0.745)
Ac (0.462, 0.319, 0.245)
Ac (0.538, 0.681, 0.755)
Nd (0.130, 0.087, 0.391)
Nd (0.870, 0.913, 0.609)
Nd (0.630, 0.913, 0.109)
Nd (0.370, 0.087, 0.891)
Nd (0.490, 0.787, 0.380)
Nd (0.510, 0.213, 0.620)
Nd (0.990, 0.213, 0.120)
Nd (0.010, 0.787, 0.880)
Nd (0.203, 0.565, 0.524)
Nd (0.797, 0.435, 0.476)
Nd (0.703, 0.435, 0.976)
Nd (0.297, 0.565, 0.024)
Pt (0.256, 0.937, 0.603)
Pt (0.744, 0.063, 0.397)
Pt (0.756, 0.063, 0.897)
Pt (0.244, 0.937, 0.103)